1.
The following is a DFT calculation (GGA-PBE) of a geometry-optimized Cs2NbAsI structure.

Lattice parameters (Å, degrees): 7.264 5.449 7.264 90.00 90.00 90.00
Positions (direct):
Cs 0.500 0.000 0.000
Cs 0.000 0.000 0.500
As 0.500 0.500 0.500
I 0.000 0.500 0.000
Nb 0.000 0.000 0.000

Results
- Uncorrected formation energy: 0.70 eV per atom
- E: -2.89 eV/atom


2.
The following is a DFT calculation (GGA-PBE) of a geometry-optimized YErHgPt structure.

Lattice parameters (Å, degrees): 3.560 3.560 7.355 90.00 90.00 90.00
Positions (direct):
Y 0.500 0.500 0.130
Hg 0.000 0.000 0.852
Pt 0.000 0.000 0.365
Er 0.500 0.500 0.581

Results
- Formation energy: -338 kJ/mol of formula units
- ΔE to the lowest computed polymorph: 0 meV per atom
- E: -5.22 eV/atom


3.
The following is a DFT calculation (GGA-PBE) of a geometry-optimized CuBiIN2 structure.

Lattice parameters (Å, degrees): 4.227 4.227 7.317 90.00 90.00 90.00
Positions (direct):
N 0.000 0.500 0.000
N 0.500 0.000 0.000
Cu 0.500 0.500 0.500
Bi 0.000 0.000 0.000
I 0.000 0.000 0.500

Results
- ΔE to the lowest computed polymorph: 0 meV per atom
- Uncorrected formation energy: 1.59 eV per atom
- E: -3.65 eV/atom


4.
The following is a DFT calculation (GGA-PBE) of a geometry-optimized LiNdSmEr structure.

Lattice parameters (Å, degrees): 5.553 5.553 5.553 60.00 60.00 60.00
Positions (direct):
Nd 0.250 0.250 0.250
Sm 0.750 0.750 0.750
Li 0.000 0.000 0.000
Er 0.500 0.500 0.500

Results
- Formation energy: 60 kJ/mol of formula units
- E: -3.83 eV/atom


5.
The following is a DFT calculation (GGA-PBE) of a geometry-optimized Ba5Tl4 structure.

Lattice parameters (Å, degrees): 10.567 10.567 7.933 90.00 90.00 120.00
Positions (direct):
Tl 0.000 0.376 0.250
Tl 0.376 0.376 0.750
Tl 0.624 0.000 0.750
Tl 0.624 0.624 0.250
Tl 0.000 0.000 0.500
Tl 0.000 0.000 0.000
Tl 0.376 0.000 0.250
Tl 0.000 0.624 0.750
Ba 0.286 0.000 0.750
Ba 0.286 0.286 0.250
Ba 0.333 0.667 0.500
Ba 0.667 0.333 0.000
Ba 0.000 0.714 0.250
Ba 0.333 0.667 0.000
Ba 0.667 0.333 0.500
Ba 0.714 0.000 0.250
Ba 0.000 0.286 0.750
Ba 0.714 0.714 0.750

Results
- Formation energy: -251 kJ/mol of formula units
- ΔE to the lowest computed polymorph: 42 meV per atom
- E: -2.41 eV/atom


6.
The following is a DFT calculation (GGA-PBE) of a geometry-optimized YIr2Rh structure.

Lattice parameters (Å, degrees): 4.914 4.914 5.045 79.52 79.52 34.97
Positions (direct):
Ir 0.252 0.252 0.227
Ir 0.992 0.992 0.055
Y 0.749 0.749 0.739
Rh 0.507 0.507 0.480

Results
- Formation energy: -97 kJ/mol of formula units
- ΔE to the lowest computed polymorph: 162 meV per atom
- E: -8.14 eV/atom